(1)
This record from OQMD via LeMat-Bulk describes a relaxed ZrNiMoAs crystal. The functional is PBE.

a b c (Å): 4.474 4.474 4.474
angles (deg): 60.00 60.00 60.00
Positions (direct):
1 Zr 0.000 0.000 0.000
2 Ni 0.750 0.750 0.750
3 Mo 0.250 0.250 0.250
4 As 0.500 0.500 0.500

Computed properties:
Space group ... F-43m, No. 216

---

(2)
This record from OQMD via LeMat-Bulk describes a relaxed MoAsOs crystal. The functional is PBE.

a b c (Å): 4.138 4.138 4.138
angles (deg): 60.00 60.00 60.00
Positions (direct):
1 Mo 0.000 0.000 0.000
2 As 0.250 0.250 0.250
3 Os 0.500 0.500 0.500

Computed properties:
Space group ... F-43m, No. 216

---

(3)
This record from OQMD via LeMat-Bulk describes a relaxed MoAs2Os crystal. The functional is PBE.

a b c (Å): 4.491 4.491 4.491
angles (deg): 60.00 60.00 60.00
Positions (direct):
1 Mo 0.000 0.000 0.000
2 As 0.250 0.250 0.250
3 As 0.500 0.500 0.500
4 Os 0.750 0.750 0.750

Computed properties:
Space group ... F-43m, No. 216

---

The following E_tot values (in eV per cell) correspond, in order, to the records above: -29.6, -25.0, -28.9.